[1]
Ce2Dy6HoEr3: optimized geometry, PBE.

Values from the calculation:
final energy: -4.764 eV per atom
space group: C2/m
formation energy from the elements: 48 meV per atom
total magnetization: 1.8 μB per formula unit

Cell: 6.105 6.105 11.692 Å, 94.99 94.99 119.99°
Fractional coordinates of all 12 atoms:
1 Ce 0.333 0.667 0.000
2 Ce 0.667 0.333 0.000
3 Dy 0.916 0.581 0.750
4 Dy 0.749 0.749 0.250
5 Dy 0.084 0.419 0.250
6 Dy 0.581 0.916 0.750
7 Dy 0.251 0.251 0.750
8 Dy 0.419 0.084 0.250
9 Ho 0.000 0.000 0.000
10 Er 0.166 0.834 0.500
11 Er 0.834 0.166 0.500
12 Er 0.500 0.500 0.500



[2]
CeDy5HoEr2: optimized geometry, PBE.

Values from the calculation:
final energy: -4.567 eV per atom
space group: Cmc2_1
formation energy from the elements: 172 meV per atom
total magnetization: 0.6 μB per formula unit

Cell: 5.665 11.071 9.514 Å, 90.00 90.00 104.82°
Fractional coordinates of all 18 atoms:
1 Ce 0.809 0.619 0.521
2 Ce 0.191 0.381 0.021
3 Dy 0.394 0.789 0.044
4 Dy 0.733 0.465 0.830
5 Dy 0.471 0.942 0.747
6 Dy 0.305 0.611 0.713
7 Dy 0.986 0.972 0.512
8 Dy 0.606 0.211 0.544
9 Dy 0.267 0.535 0.330
10 Dy 0.529 0.058 0.247
11 Dy 0.695 0.389 0.213
12 Dy 0.014 0.028 0.012
13 Ho 0.597 0.194 0.927
14 Ho 0.403 0.806 0.427
15 Er 0.886 0.773 0.822
16 Er 0.133 0.265 0.708
17 Er 0.114 0.227 0.322
18 Er 0.867 0.735 0.208



[3]
CeDy2HoEr5: optimized geometry, PBE.

Values from the calculation:
final energy: -4.583 eV per atom
space group: Cmc2_1
formation energy from the elements: 142 meV per atom
total magnetization: 0.9 μB per formula unit

Cell: 3.500 12.412 13.110 Å, 90.00 90.00 98.11°
Fractional coordinates of all 18 atoms:
1 Ce 0.989 0.978 0.536
2 Ce 0.011 0.022 0.036
3 Dy 0.128 0.256 0.164
4 Dy 0.871 0.742 0.408
5 Dy 0.872 0.744 0.664
6 Dy 0.129 0.258 0.908
7 Ho 0.300 0.601 0.847
8 Ho 0.700 0.399 0.347
9 Er 0.730 0.460 0.037
10 Er 0.698 0.397 0.725
11 Er 0.559 0.118 0.721
12 Er 0.441 0.882 0.851
13 Er 0.128 0.257 0.536
14 Er 0.270 0.540 0.537
15 Er 0.302 0.603 0.225
16 Er 0.441 0.882 0.221
17 Er 0.559 0.118 0.351
18 Er 0.872 0.743 0.036



[4]
Ce2DyHo3Er6: optimized geometry, PBE.

Values from the calculation:
final energy: -4.752 eV per atom
space group: C2/m
formation energy from the elements: 47 meV per atom
total magnetization: 1.7 μB per formula unit

Cell: 6.085 6.085 11.631 Å, 95.00 95.00 119.98°
Fractional coordinates of all 12 atoms:
1 Ce 0.333 0.667 0.000
2 Ce 0.667 0.333 0.000
3 Dy 0.000 0.000 0.000
4 Ho 0.166 0.834 0.500
5 Ho 0.834 0.166 0.500
6 Ho 0.500 0.500 0.500
7 Er 0.916 0.581 0.751
8 Er 0.748 0.748 0.250
9 Er 0.084 0.419 0.249
10 Er 0.581 0.916 0.751
11 Er 0.252 0.252 0.750
12 Er 0.419 0.084 0.249



[5]
CeDy3Ho6Er2: optimized geometry, PBE.

Values from the calculation:
final energy: -4.659 eV per atom
space group: C2/m
formation energy from the elements: 35 meV per atom
total magnetization: 1.1 μB per formula unit

Cell: 6.107 6.107 11.692 Å, 94.99 94.99 119.97°
Fractional coordinates of all 12 atoms:
1 Ce 0.000 0.000 0.000
2 Dy 0.167 0.833 0.500
3 Dy 0.833 0.167 0.500
4 Dy 0.500 0.500 0.500
5 Ho 0.916 0.585 0.751
6 Ho 0.752 0.752 0.249
7 Ho 0.084 0.415 0.249
8 Ho 0.585 0.916 0.751
9 Ho 0.248 0.248 0.751
10 Ho 0.415 0.084 0.249
11 Er 0.333 0.667 0.000
12 Er 0.667 0.333 0.000



[6]
CeDy2Ho3Er6: optimized geometry, PBE.

Values from the calculation:
final energy: -4.651 eV per atom
space group: C2/m
formation energy from the elements: 37 meV per atom
total magnetization: 1.1 μB per formula unit

Cell: 6.095 6.095 11.655 Å, 95.00 95.00 119.97°
Fractional coordinates of all 12 atoms:
1 Ce 0.000 0.000 0.000
2 Dy 0.333 0.667 0.000
3 Dy 0.667 0.333 0.000
4 Ho 0.167 0.833 0.500
5 Ho 0.833 0.167 0.500
6 Ho 0.500 0.500 0.500
7 Er 0.916 0.585 0.750
8 Er 0.752 0.752 0.250
9 Er 0.084 0.415 0.250
10 Er 0.585 0.916 0.750
11 Er 0.248 0.248 0.750
12 Er 0.415 0.084 0.250



[7]
CeDyHo6Er2: optimized geometry, PBE.

Values from the calculation:
final energy: -4.556 eV per atom
space group: C2/c
formation energy from the elements: 157 meV per atom
total magnetization: 1.1 μB per formula unit

Cell: 9.444 8.691 8.691 Å, 116.83 93.93 93.93°
Fractional coordinates of all 20 atoms:
1 Ce 0.250 0.410 0.590
2 Ce 0.750 0.590 0.410
3 Dy 0.250 0.971 0.029
4 Dy 0.750 0.029 0.971
5 Ho 0.058 0.118 0.754
6 Ho 0.442 0.246 0.882
7 Ho 0.942 0.882 0.246
8 Ho 0.558 0.754 0.118
9 Ho 0.316 0.982 0.433
10 Ho 0.184 0.567 0.018
11 Ho 0.684 0.018 0.567
12 Ho 0.816 0.433 0.982
13 Ho 0.117 0.704 0.488
14 Ho 0.383 0.512 0.296
15 Ho 0.883 0.296 0.512
16 Ho 0.617 0.488 0.704
17 Er 0.452 0.806 0.705
18 Er 0.048 0.295 0.194
19 Er 0.548 0.194 0.295
20 Er 0.952 0.705 0.806



[8]
CeDy5Ho2Er: optimized geometry, PBE.

Values from the calculation:
final energy: -4.570 eV per atom
space group: Cmc2_1
formation energy from the elements: 171 meV per atom
total magnetization: 0.6 μB per formula unit

Cell: 5.668 11.089 9.505 Å, 90.00 90.00 104.81°
Fractional coordinates of all 18 atoms:
1 Ce 0.809 0.619 0.520
2 Ce 0.191 0.381 0.020
3 Dy 0.394 0.789 0.045
4 Dy 0.733 0.466 0.831
5 Dy 0.471 0.942 0.747
6 Dy 0.306 0.611 0.713
7 Dy 0.986 0.972 0.511
8 Dy 0.606 0.211 0.545
9 Dy 0.267 0.534 0.331
10 Dy 0.529 0.058 0.247
11 Dy 0.694 0.389 0.213
12 Dy 0.014 0.028 0.011
13 Ho 0.886 0.773 0.822
14 Ho 0.133 0.266 0.707
15 Ho 0.114 0.227 0.322
16 Ho 0.867 0.734 0.207
17 Er 0.597 0.195 0.928
18 Er 0.403 0.805 0.428



[9]
CeDy2Ho6Er3: optimized geometry, PBE.

Values from the calculation:
final energy: -4.654 eV per atom
space group: C2/m
formation energy from the elements: 37 meV per atom
total magnetization: 1.1 μB per formula unit

Cell: 6.102 6.102 11.680 Å, 95.00 95.00 119.97°
Fractional coordinates of all 12 atoms:
1 Ce 0.000 0.000 0.000
2 Dy 0.333 0.667 0.000
3 Dy 0.667 0.333 0.000
4 Ho 0.916 0.585 0.749
5 Ho 0.753 0.753 0.251
6 Ho 0.084 0.415 0.251
7 Ho 0.585 0.916 0.749
8 Ho 0.247 0.247 0.749
9 Ho 0.415 0.084 0.251
10 Er 0.167 0.833 0.500
11 Er 0.833 0.167 0.500
12 Er 0.500 0.500 0.500



[10]
Ce2DyHo6Er3: optimized geometry, PBE.

Values from the calculation:
final energy: -4.754 eV per atom
space group: C2/m
formation energy from the elements: 48 meV per atom
total magnetization: 1.8 μB per formula unit

Cell: 6.092 6.092 11.661 Å, 95.00 95.00 119.99°
Fractional coordinates of all 12 atoms:
1 Ce 0.333 0.667 0.000
2 Ce 0.667 0.333 0.000
3 Dy 0.000 0.000 0.000
4 Ho 0.916 0.581 0.750
5 Ho 0.748 0.748 0.250
6 Ho 0.084 0.419 0.250
7 Ho 0.581 0.916 0.750
8 Ho 0.252 0.252 0.750
9 Ho 0.419 0.084 0.250
10 Er 0.166 0.834 0.500
11 Er 0.834 0.166 0.500
12 Er 0.500 0.500 0.500



[11]
CeDy2HoEr: optimized geometry, PBE.

Values from the calculation:
final energy: -4.551 eV per atom
space group: Pmma
formation energy from the elements: 305 meV per atom
total magnetization: 1.6 μB per formula unit

Cell: 6.885 7.910 5.850 Å, 90.00 90.00 90.00°
Fractional coordinates of all 10 atoms:
1 Ce 0.000 0.000 0.000
2 Ce 0.000 0.000 0.500
3 Dy 0.686 0.701 0.750
4 Dy 0.686 0.299 0.750
5 Dy 0.314 0.701 0.250
6 Dy 0.314 0.299 0.250
7 Ho 0.160 0.500 0.750
8 Ho 0.840 0.500 0.250
9 Er 0.596 0.000 0.250
10 Er 0.404 0.000 0.750



[12]
CeDy6Ho2Er3: optimized geometry, PBE.

Values from the calculation:
final energy: -4.662 eV per atom
space group: C2/m
formation energy from the elements: 37 meV per atom
total magnetization: 1.2 μB per formula unit

Cell: 6.114 6.114 11.704 Å, 94.99 94.99 119.98°
Fractional coordinates of all 12 atoms:
1 Ce 0.000 0.000 0.000
2 Dy 0.916 0.585 0.749
3 Dy 0.752 0.752 0.251
4 Dy 0.084 0.415 0.251
5 Dy 0.585 0.916 0.749
6 Dy 0.248 0.248 0.749
7 Dy 0.415 0.084 0.251
8 Ho 0.333 0.667 0.000
9 Ho 0.667 0.333 0.000
10 Er 0.167 0.833 0.500
11 Er 0.833 0.167 0.500
12 Er 0.500 0.500 0.500